Material: LaPmErLu
Method: DFT, PBE
State: optimized geometry

POSCAR file:
```
LaPmErLu
1.0
5.728 0.000 0.000
2.864 4.961 0.000
2.864 1.654 4.677
Pm Lu La Er
1 1 1 1
direct
0.750 0.750 0.750
0.500 0.500 0.500
0.250 0.250 0.250
0.000 0.000 0.000
```

Properties
crystal system: cubic
energy of formation: 0.0830 eV per atom
space group: No. 216
size of the total moment: 0.004 Bohr magnetons per cell